# MgCuPd2 | the Alexandria database | PBE-GGA | relaxed
# formation enthalpy at 0 K: -0.2633 eV per atom
# magnetization: 0.00 μB/cell
data_MgCuPd2
_chemical_formula_sum 'Mg2 Cu2 Pd4'
_space_group_name_H-M_alt 'C 1 m 1'
_space_group_IT_number 8
_cell_length_a 5.023
_cell_length_b 2.898
_cell_length_c 8.544
_cell_angle_alpha 90.00
_cell_angle_beta 101.49
_cell_angle_gamma 90.00
loop_
_space_group_symop_operation_xyz
'x,y,z'
'x,-y,z'
'x+1/2,y+1/2,z'
'x+1/2,-y+1/2,z'
loop_
_atom_site_label
_atom_site_type_symbol
_atom_site_fract_x
_atom_site_fract_y
_atom_site_fract_z
_atom_site_occupancy
Mg1 Mg 0.000 0.000 0.000 1
Cu1 Cu 0.167 0.000 0.499 1
Pd1 Pd 0.082 0.500 0.747 1
Pd2 Pd 0.418 0.000 0.253 1